# 1
The following is a DFT calculation (GGA-PBE) of an optimized crystal structure of RbTe2PbO8.

Computed properties:
total moment: 0.000 μB per formula unit
ΔE_f (raw): -0.93 eV/atom
crystal system: monoclinic
space-group type: No. 12

Cell lengths 6.090, 6.207, 7.992 Å; angles 61.17, 67.60, 60.62 degrees
Fractional coordinates of all 12 atoms:
1 O 0.666 0.556 0.112
2 O 0.127 0.041 0.229
3 O 0.604 0.041 0.229
4 O 0.334 0.444 0.888
5 O 0.873 0.959 0.771
6 Rb 0.500 0.500 0.500
7 O 0.897 0.459 0.747
8 Te 0.712 0.726 0.850
9 O 0.103 0.541 0.253
10 Te 0.288 0.274 0.150
11 O 0.396 0.959 0.771
12 Pb 0.000 0.000 0.000



# 2
The following is a DFT calculation (GGA-PBE) of an optimized crystal structure of TmGa2TeO8.

Computed properties:
total moment: 1.077 μB per formula unit
ΔE_f (raw): -1.56 eV/atom
crystal system: tetragonal
space-group type: No. 119

Cell lengths 5.768, 5.768, 5.768 Å; angles 108.89, 108.89, 110.64 degrees
Fractional coordinates of all 12 atoms:
1 O 0.947 0.247 0.300
2 O 0.354 0.053 0.300
3 O 0.285 0.110 0.824
4 O 0.539 0.715 0.824
5 Te 0.000 0.000 0.000
6 O 0.890 0.715 0.176
7 O 0.753 0.053 0.700
8 Ga 0.750 0.250 0.500
9 Ga 0.500 0.500 0.000
10 O 0.285 0.461 0.176
11 O 0.947 0.646 0.700
12 Tm 0.250 0.750 0.500